Computed, not measured: FeSbI2O after structural relaxation at the GGA+U level of DFT.

## Properties
Its crystal system is tetragonal. The value obtained for the magnetic moment is 4.2 μB per formula unit. Its electronic total energy is -13.4 eV for the cell shown. As for the density of states at the Fermi level: 1.559 states/eV per atom. Its space group is P4/mmm (123). The value obtained for the mass density is 4.757 g/cm3. The value obtained for the polymorph energy (0 for the lowest one) is 974 meV per atom.

abc: 5.5657 5.5657 5.0414
angles: 90.00 90.00 90.00
Positions (direct):
Fe (0.0000, 0.0000, 0.0000)
Sb (0.0000, 0.0000, 0.5000)
I (0.0000, 0.5000, 0.0000)
I (0.5000, 0.0000, 0.0000)
O (0.5000, 0.5000, 0.5000)